# 1
Material: Mo2IrAu
Method: DFT, PBE
State: relaxed

**Distance to the lowest polymorph of the same formula**: 184 meV per atom
**Theoretical density**: 15.07 g cm⁻³
**SG**: C2/m (12)

Lattice parameters (Å, degrees): 4.966 4.966 4.707 79.07 79.07 34.25
Atoms (fractional coordinates):
Mo (0.494, 0.494, 0.527)
Mo (0.006, 0.006, 0.973)
Ir (0.750, 0.750, 0.750)
Au (0.250, 0.250, 0.250)

# 2
Material: SrLiBe2
Method: DFT, PBE
State: relaxed

**Distance to the lowest polymorph of the same formula**: 37 meV per atom
**Theoretical density**: 2.30 g cm⁻³
**SG**: C2/m (12)

Lattice parameters (Å, degrees): 4.150 4.150 5.941 70.01 70.01 59.82
Atoms (fractional coordinates):
Li (0.750, 0.750, 0.750)
Sr (0.250, 0.250, 0.250)
Be (0.432, 0.432, 0.706)
Be (0.068, 0.068, 0.794)

# 3
Material: SmGa4Pt6
Method: DFT, PBE
State: relaxed

**Distance to the lowest polymorph of the same formula**: 0 meV per atom
**Theoretical density**: 14.28 g cm⁻³
**SG**: P-6m2 (187)

Lattice parameters (Å, degrees): 3.933 7.390 7.390 120.00 90.00 90.00
Atoms (fractional coordinates):
Pt (0.500, 0.195, 0.805)
Ga (0.500, 0.802, 0.604)
Pt (0.000, 0.533, 0.467)
Sm (0.000, 0.000, 0.000)
Ga (0.500, 0.802, 0.198)
Ga (0.500, 0.396, 0.198)
Pt (0.500, 0.195, 0.391)
Pt (0.000, 0.533, 0.067)
Ga (0.000, 0.333, 0.667)
Pt (0.500, 0.609, 0.805)
Pt (0.000, 0.933, 0.467)

# 4
Material: CdInCo
Method: DFT, PBE
State: relaxed

**Theoretical density**: 8.74 g cm⁻³
**SG**: P3m1 (156)

Lattice parameters (Å, degrees): 4.477 4.477 3.134 90.00 90.00 120.00
Atoms (fractional coordinates):
Cd (0.000, 0.000, 0.003)
In (0.333, 0.667, 0.527)
Co (0.667, 0.333, 0.470)

# 5
Material: LaDyAu
Method: DFT, PBE
State: relaxed

**Distance to the lowest polymorph of the same formula**: 8 meV per atom
**Theoretical density**: 9.29 g cm⁻³
**SG**: P4/nmm (129)

Lattice parameters (Å, degrees): 4.910 4.910 7.394 90.00 90.00 90.00
Atoms (fractional coordinates):
Dy (0.000, 0.000, 0.500)
La (0.500, 0.000, 0.119)
Au (0.500, 0.000, 0.721)
Dy (0.500, 0.500, 0.500)
Au (0.000, 0.500, 0.279)
La (0.000, 0.500, 0.881)

# 6
Material: Dy5Ho5Er2
Method: DFT, PBE
State: relaxed

**Theoretical density**: 8.85 g cm⁻³
**SG**: C2/m (12)

Lattice parameters (Å, degrees): 4.973 7.873 10.562 72.66 76.38 71.59
Atoms (fractional coordinates):
Dy (0.667, 0.667, 0.000)
Dy (0.417, 0.916, 0.250)
Dy (0.333, 0.333, 0.000)
Er (0.917, 0.417, 0.750)
Ho (0.750, 0.250, 0.250)
Ho (0.833, 0.833, 0.500)
Er (0.083, 0.583, 0.250)
Dy (0.500, 0.500, 0.500)
Ho (0.167, 0.167, 0.500)
Ho (0.250, 0.750, 0.750)
Dy (0.583, 0.084, 0.750)
Ho (0.000, 0.000, 0.000)

Number 1: energy of formation from the pure elements 170 meV/atom. Number 2: energy of formation from the pure elements 327 meV/atom. Number 3: energy of formation from the pure elements -807 meV/atom. Number 4: energy of formation from the pure elements 340 meV/atom. Number 5: energy of formation from the pure elements -580 meV/atom. Number 6: energy of formation from the pure elements 20 meV/atom.